# CsTmS2 | Alexandria | PBE | relaxed
data_CsTmS2
_chemical_formula_sum 'Cs2 Tm2 S4'
_symmetry_space_group_name_H-M 'P 63/m m c'
_symmetry_Int_Tables_number 194
_symmetry_space_group_name_Hall '-P 6c 2c'
_cell_length_a 4.0525
_cell_length_b 4.0525
_cell_length_c 16.0677
_cell_angle_alpha 90.00
_cell_angle_beta 90.00
_cell_angle_gamma 120.00
loop_
_atom_site_label
_atom_site_fract_x
_atom_site_fract_y
_atom_site_fract_z
Cs1 0.3333 0.6667 0.2500
Tm1 0.0000 0.0000 0.0000
S1 0.3333 0.6667 0.5899
# formation energy without anion corrections	-1.83	eV/atom
# E above lowest polymorph	0.00	eV per formula unit
# raw total energy	-5.2240	eV/atom
# calculated volume	228.5	Å³/cell